Computed, not measured: a geometry-optimized CaIrPt2N structure at the PBE level of DFT.

For the total moment, the calculation gives 0.00 μB per formula unit. The total energy comes out at -31.1 eV/f.u. The space group is No. 123.

a b c (Å): 4.536 3.895 4.536
angles (deg): 90.00 90.00 90.00
Fractional coordinates of all 5 atoms:
Ca 0.500 0.500 0.500
Ir 0.000 0.500 0.000
Pt 0.000 0.000 0.500
Pt 0.500 0.000 0.000
N 0.000 0.000 0.000